Material: CoAgN2O
Method: DFT, PBE with a Hubbard U
State: relaxed

The structure belongs to space group P4/mmm (No. 123); the cell edges are 4.044, 4.044 and 4.080 Å and the angles 90.00°, 90.00° and 90.00°. The distinct sites, in fractional coordinates, are Co at (0.000, 0.000, 0.000), Ag at (0.500, 0.500, 0.500), N at (0.000, 0.500, 0.500) and O at (0.500, 0.500, 0.000).

As for the density: 5.25 g cm⁻³. Its density of states at the Fermi level is 1.6 states/eV per cell. The energy is -3.945 eV/atom.